No. 1
La2TbSnC: relaxed, PBE.

Properties
**Total magnetic moment**: 0.00 μB per cell
**Symmetry**: P4/mmm (123)
**Calculated volume**: 26.985 Å³ per atom
**DFT formation energy**: -0.5070 eV per atom

Structure (extended XYZ):
```
5
Lattice="4.979 0.000 0.000 0.000 5.206 0.000 0.000 0.000 5.206" Properties=species:S:1:pos:R:3 pbc="T T T"
La 0.000 0.000 2.603
La 0.000 2.603 0.000
Tb 2.490 0.000 0.000
Sn 2.490 2.603 2.603
C 0.000 0.000 0.000
```

---

No. 2
La2TcSnC: relaxed, PBE.

Properties
**Total magnetic moment**: 0.00 μB per cell
**Symmetry**: P4/mmm (123)
**Calculated volume**: 23.288 Å³ per atom
**DFT formation energy**: -0.3026 eV per atom

Structure (extended XYZ):
```
5
Lattice="-4.055 -0.873 3.378 3.419 0.040 4.114 -0.530 4.015 0.401" Properties=species:S:1:pos:R:3 pbc="T T T"
Tc -0.265 2.007 0.201
C 0.000 0.000 0.000
Sn -0.583 1.591 3.947
La 1.709 0.020 2.057
La -2.027 -0.436 1.689
```

---

No. 3
La4SnTeC: relaxed, PBE.

Properties
**Total energy**: -82.07 eV for the cell shown
**Total magnetic moment**: 0.00 μB per cell
**Symmetry**: Cmcm (63)
**Calculated volume**: 31.056 Å³ per atom

Structure (extended XYZ):
```
14
Lattice="7.206 0.000 0.000 0.000 7.136 0.000 -3.603 0.000 8.456" Properties=species:S:1:pos:R:3 pbc="T T T"
La 3.603 1.784 7.013
La 0.000 5.352 6.955
La 0.000 5.352 1.443
La 3.603 1.784 1.501
La 1.801 3.568 4.228
La -1.801 0.000 4.228
La 1.801 0.000 4.228
La -1.801 3.568 4.228
Sn 0.000 1.784 1.847
Sn 3.603 5.352 6.609
Te 3.603 5.352 1.896
Te 0.000 1.784 6.560
C 0.000 5.352 4.560
C 3.603 1.784 3.896
```

---

No. 4
La2TiSnC: relaxed, PBE.

Properties
**Total magnetic moment**: 1.80 μB per cell
**Symmetry**: P4/mmm (123)
**Calculated volume**: 24.443 Å³ per atom
**DFT formation energy**: -0.4074 eV per atom

Structure (extended XYZ):
```
5
Lattice="-1.984 3.652 3.330 -0.939 -3.802 3.610 3.925 0.613 1.667" Properties=species:S:1:pos:R:3 pbc="T T T"
C 0.000 0.000 0.000
Ti 1.963 0.306 0.833
Sn 0.501 0.232 4.303
La -0.470 -1.901 1.805
La -0.992 1.826 1.665
```